The following is a DFT calculation (PBEsol) of TiOsAu3 after structural relaxation.

## Properties
The value obtained for the total energy is -23.35 eV per cell. The size of the total moment comes out at 3.54 μB/f.u. The formation energy comes out at 1.79 eV per atom.

Structure (extended XYZ):
```
5
Lattice="4.730 0.000 0.000 0.000 4.730 0.000 0.000 0.000 4.730" Properties=species:S:1:pos:R:3 pbc="T T T"
Os 2.365 2.365 2.365
Au 0.000 2.365 0.000
Au 0.000 0.000 2.365
Au 2.365 0.000 0.000
Ti 0.000 0.000 0.000
```

***

The following is a DFT calculation (PBEsol) of SeIBrN2 after structural relaxation.

## Properties
As for the formation energy (no corrections): 1943 meV/atom. The value obtained for the total energy is -14.83 eV per cell. The size of the total moment comes out at 1.49 μB/f.u.

Structure (extended XYZ):
```
5
Lattice="3.965 0.000 0.000 0.000 3.965 0.000 0.000 0.000 7.386" Properties=species:S:1:pos:R:3 pbc="T T T"
I 0.000 0.000 3.693
Se 1.982 1.982 3.693
Br 0.000 0.000 0.000
N 0.000 1.982 0.000
N 1.982 0.000 0.000
```

***

The following is a DFT calculation (PBEsol) of AlCoSi2 after structural relaxation.

## Properties
As for the formation energy (no corrections): -198 meV/atom. The value obtained for the total energy is -24.11 eV per cell. The size of the total moment comes out at 0.00 μB/f.u.

Structure (extended XYZ):
```
4
Lattice="-0.653 -2.510 0.629 0.555 -0.769 -2.495 6.727 -1.277 1.890" Properties=species:S:1:pos:R:3 pbc="T T T"
Si 6.446 -1.223 1.811
Si 1.588 -1.950 -0.473
Co 5.087 -2.614 0.509
Al 3.599 -0.683 1.011
```

***

The following is a DFT calculation (PBEsol) of Cr3CuP4O16 after structural relaxation.

## Properties
As for the formation energy (no corrections): -1921 meV/atom. The value obtained for the total energy is -188.33 eV per cell. The size of the total moment comes out at 8.87 μB/f.u.

Structure (extended XYZ):
```
24
Lattice="-1.637 -0.828 4.324 3.039 -4.759 0.240 7.502 4.974 3.621" Properties=species:S:1:pos:R:3 pbc="T T T"
Cr 4.896 3.386 5.148
Cr 2.480 -1.627 2.869
Cr 6.931 1.220 2.975
Cu 0.581 0.623 5.000
P 3.132 -1.083 5.409
P 7.362 1.652 6.069
P 0.001 0.107 2.113
P 4.268 2.855 2.566
O 4.374 -0.272 5.758
O 2.226 -0.335 4.364
O 3.475 -2.291 4.463
O 3.339 2.414 5.603
O -0.401 -0.077 3.566
O 5.878 2.132 6.383
O 7.157 0.129 6.484
O 0.881 -2.625 3.328
O 6.481 4.382 4.829
O 3.153 -3.134 1.946
O 1.441 -0.454 1.812
O 7.719 1.805 4.601
O 4.035 -0.661 2.350
O 7.011 -0.634 3.732
O 5.250 2.122 3.593
O 3.027 2.049 2.296
```

***

The following is a DFT calculation (PBEsol) of NaEuS2 after structural relaxation.

## Properties
As for the formation energy (no corrections): -1570 meV/atom. The value obtained for the total energy is -27.01 eV per cell. The size of the total moment comes out at 6.00 μB/f.u.

Structure (extended XYZ):
```
4
Lattice="-0.194 1.339 3.816 -1.714 -2.291 2.864 5.133 -3.062 3.483" Properties=species:S:1:pos:R:3 pbc="T T T"
Eu 0.000 0.000 0.000
Na 1.613 -2.007 5.082
S 2.525 -3.061 7.646
S 0.700 -0.953 2.518
```

***

The following is a DFT calculation (PBEsol) of BaCuS2 after structural relaxation.

## Properties
As for the formation energy (no corrections): -1191 meV/atom. The value obtained for the total energy is -40.03 eV per cell. The size of the total moment comes out at 0.00 μB/f.u.

Structure (extended XYZ):
```
8
Lattice="-1.076 3.759 -2.055 -3.859 -1.771 -1.217 -3.768 3.037 7.529" Properties=species:S:1:pos:R:3 pbc="T T T"
S -4.352 2.513 2.128
S -1.884 1.519 3.764
S -1.097 2.330 0.089
S -5.139 1.702 5.804
Ba -2.678 -0.282 0.886
Ba -3.558 4.313 5.007
Cu -2.057 3.104 2.007
Cu -4.179 0.928 3.885
```

***

The following is a DFT calculation (PBEsol) of MoP3 after structural relaxation.

## Properties
The value obtained for the total energy is -28.87 eV per cell. The calculation puts the energy above the most stable polymorph in this dataset at 0 meV per atom. The size of the total moment comes out at 0.00 μB/f.u. The formation energy comes out at 0.07 eV per atom.

Structure (extended XYZ):
```
4
Lattice="3.228 0.000 0.000 0.000 4.391 0.000 -1.614 -2.196 3.748" Properties=species:S:1:pos:R:3 pbc="T T T"
Mo 0.000 2.196 0.000
P 1.614 2.196 2.111
P 0.000 0.000 1.637
P 1.614 0.000 0.000
```

***

The following is a DFT calculation (PBEsol) of SrIrAu2 after structural relaxation.

## Properties
The value obtained for the total energy is -19.06 eV per cell. The calculation puts the energy above the most stable polymorph in this dataset at 125 meV per atom. The size of the total moment comes out at 0.00 μB/f.u. The formation energy comes out at 0.11 eV per atom.

Structure (extended XYZ):
```
4
Lattice="4.800 0.000 0.000 2.400 4.157 0.000 2.400 1.386 3.919" Properties=species:S:1:pos:R:3 pbc="T T T"
Au 2.400 1.386 0.980
Au 7.199 4.157 2.939
Ir 0.000 0.000 0.000
Sr 4.800 2.771 1.959
```

***

The following is a DFT calculation (PBEsol) of Ba2SrTa after structural relaxation.

## Properties
The value obtained for the total energy is -15.36 eV per cell. The size of the total moment comes out at 0.00 μB/f.u. The formation energy comes out at 0.83 eV per atom.

Structure (extended XYZ):
```
4
Lattice="3.558 0.016 0.000 -0.041 3.557 0.000 0.000 0.000 11.683" Properties=species:S:1:pos:R:3 pbc="T T T"
Ba 0.000 0.000 0.607
Ba 1.758 1.787 8.760
Sr 0.000 0.000 5.210
Ta 1.758 1.787 2.947
```

***

The following is a DFT calculation (PBEsol) of BiP2CCl after structural relaxation.

## Properties
As for the formation energy (no corrections): 942 meV/atom. The value obtained for the total energy is -22.81 eV per cell. The size of the total moment comes out at 0.00 μB/f.u.

Structure (extended XYZ):
```
5
Lattice="-3.725 -0.688 -1.810 1.726 -2.957 -2.429 -0.960 -3.173 3.181" Properties=species:S:1:pos:R:3 pbc="T T T"
P 0.863 -1.479 -1.214
P -1.862 -0.344 -0.905
C 0.000 0.000 0.000
Bi -1.479 -3.409 -0.529
Cl -0.480 -1.586 1.590
```

***

The following is a DFT calculation (PBEsol) of ScCd2Sb after structural relaxation.

## Properties
As for the formation energy (no corrections): -257 meV/atom. The value obtained for the total energy is -14.59 eV per cell. The size of the total moment comes out at 0.00 μB/f.u.

Structure (extended XYZ):
```
4
Lattice="3.355 0.000 0.000 0.000 5.375 -0.073 -1.677 -1.856 4.975" Properties=species:S:1:pos:R:3 pbc="T T T"
Cd 1.677 -1.462 4.928
Cd 1.677 0.010 2.429
Sb 1.677 3.149 0.040
Sc 0.000 2.654 2.442
```

***

The following is a DFT calculation (PBEsol) of TiMn3Ge after structural relaxation.

## Properties
The value obtained for the total energy is -36.44 eV per cell. The size of the total moment comes out at 8.01 μB/f.u. The formation energy comes out at 1.22 eV per atom.

Structure (extended XYZ):
```
5
Lattice="4.370 0.000 0.000 0.000 4.370 0.000 0.000 0.000 4.370" Properties=species:S:1:pos:R:3 pbc="T T T"
Ge 2.185 2.185 2.185
Mn 0.000 2.185 0.000
Mn 0.000 0.000 2.185
Mn 2.185 0.000 0.000
Ti 0.000 0.000 0.000
```

***

The following is a DFT calculation (PBEsol) of ZnH2O2 after structural relaxation.

## Properties
The value obtained for the total energy is -99.16 eV per cell. The size of the total moment comes out at 0.00 μB/f.u.

Structure (extended XYZ):
```
20
Lattice="4.759 0.015 0.000 -0.017 4.974 0.000 0.000 0.000 8.482" Properties=species:S:1:pos:R:3 pbc="T T T"
Zn 1.524 4.274 3.110
Zn 0.835 1.784 5.261
Zn 3.907 3.206 1.020
Zn 3.219 0.716 7.351
H 2.442 1.686 3.378
H 4.677 4.180 4.993
H 0.065 0.810 0.752
H 2.301 3.304 7.619
H 1.394 4.279 0.693
H 0.966 1.790 7.678
H 3.777 3.200 3.437
H 3.349 0.711 4.934
O 2.091 0.946 3.988
O 0.274 3.427 4.383
O 4.469 1.563 0.141
O 2.651 4.044 8.230
O 0.639 4.431 1.368
O 1.720 1.947 7.003
O 3.023 3.043 2.762
O 4.104 0.558 5.609
```

***

The following is a DFT calculation (PBEsol) of AlAg2SnOs after structural relaxation.

## Properties
The value obtained for the total energy is -19.51 eV per cell. The size of the total moment comes out at 1.92 μB/f.u. The formation energy comes out at 1.54 eV per atom.

Structure (extended XYZ):
```
5
Lattice="4.575 0.000 0.000 0.000 4.575 0.000 0.000 0.000 5.048" Properties=species:S:1:pos:R:3 pbc="T T T"
Os 2.287 2.287 2.524
Sn 0.000 0.000 2.524
Ag 0.000 2.287 0.000
Ag 2.287 0.000 0.000
Al 0.000 0.000 0.000
```

***

The following is a DFT calculation (PBEsol) of LiLaSi2 after structural relaxation.

## Properties
As for the formation energy (no corrections): -236 meV/atom. The value obtained for the total energy is -19.75 eV per cell. The calculation puts the energy above the most stable polymorph in this dataset at 277 meV per atom. The size of the total moment comes out at 0.00 μB/f.u.

Structure (extended XYZ):
```
4
Lattice="4.447 0.000 0.000 0.000 4.447 0.000 -2.224 -2.224 4.098" Properties=species:S:1:pos:R:3 pbc="T T T"
Si 2.224 0.000 2.049
Si 0.000 2.224 2.049
La 2.224 2.224 0.000
Li 0.000 0.000 0.000
```

***

The following is a DFT calculation (PBEsol) of HfH2Pd2 after structural relaxation.

## Properties
The value obtained for the total energy is -57.32 eV per cell. The size of the total moment comes out at 0.00 μB/f.u.

Structure (extended XYZ):
```
10
Lattice="-2.127 1.840 0.307 -0.854 -2.046 6.345 4.349 4.677 2.093" Properties=species:S:1:pos:R:3 pbc="T T T"
H 1.982 3.914 3.303
H 1.563 2.900 6.479
H -0.613 0.557 5.443
H -0.194 1.572 2.267
Hf 0.000 0.000 0.000
Hf 1.748 1.316 4.219
Pd 3.437 3.289 4.093
Pd 2.044 1.227 6.801
Pd 0.059 -0.657 4.345
Pd 1.452 1.404 1.638
```

***

The following is a DFT calculation (PBEsol) of BeMo2Rh after structural relaxation.

## Properties
The value obtained for the total energy is -35.82 eV per cell. The size of the total moment comes out at 0.00 μB/f.u. The formation energy comes out at -0.04 eV per atom.

Structure (extended XYZ):
```
4
Lattice="3.074 0.000 0.000 0.000 3.074 0.000 0.000 0.000 5.654" Properties=species:S:1:pos:R:3 pbc="T T T"
Be 1.537 1.537 4.191
Mo 0.000 0.000 5.594
Mo 1.537 1.537 1.311
Rh 0.000 0.000 3.038
```

***

The following is a DFT calculation (PBEsol) of LaP2SCl after structural relaxation.

## Properties
As for the formation energy (no corrections): -406 meV/atom. The value obtained for the total energy is -25.35 eV per cell. The size of the total moment comes out at 0.00 μB/f.u.

Structure (extended XYZ):
```
5
Lattice="4.551 0.000 0.000 0.000 4.551 0.000 0.000 0.000 4.894" Properties=species:S:1:pos:R:3 pbc="T T T"
P 0.000 2.275 0.000
P 2.275 0.000 0.000
S 0.000 0.000 0.000
Cl 0.000 0.000 2.447
La 2.275 2.275 2.447
```

***

The following is a DFT calculation (PBEsol) of BPPtO2 after structural relaxation.

## Properties
As for the formation energy (no corrections): 880 meV/atom. The value obtained for the total energy is -25.87 eV per cell. The size of the total moment comes out at 0.70 μB/f.u.

Structure (extended XYZ):
```
5
Lattice="3.688 0.000 0.000 0.000 3.688 0.000 0.000 0.000 5.121" Properties=species:S:1:pos:R:3 pbc="T T T"
P 0.000 0.000 2.561
B 1.844 1.844 2.561
O 0.000 1.844 0.000
O 1.844 0.000 0.000
Pt 0.000 0.000 0.000
```

***

The following is a DFT calculation (PBEsol) of TiNb3Cl7O2 after structural relaxation.

## Properties
As for the formation energy (no corrections): -1691 meV/atom. The value obtained for the total energy is -349.28 eV per cell. The size of the total moment comes out at 0.44 μB/f.u.

Structure (extended XYZ):
```
52
Lattice="9.660 -0.032 -0.002 -1.425 9.554 -0.002 -0.821 -0.949 12.420" Properties=species:S:1:pos:R:3 pbc="T T T"
Ti -0.454 8.299 3.103
Ti -0.410 -0.475 6.210
Ti 7.867 0.274 9.313
Ti 0.000 0.000 0.000
Nb 0.812 5.188 1.351
Nb 1.742 8.044 7.556
Nb 7.937 6.272 0.760
Nb 4.606 1.077 7.561
Nb 4.651 8.285 6.970
Nb 2.763 0.288 5.446
Nb 6.602 3.386 11.065
Nb 5.672 0.529 4.859
Nb 2.808 7.496 4.855
Nb 8.119 3.359 1.346
Nb -0.524 2.301 11.656
Nb -0.705 5.214 11.069
Cl 1.440 6.014 6.240
Cl 4.758 2.963 9.313
Cl 7.379 4.800 9.259
Cl 2.334 3.396 0.603
Cl 6.968 7.689 8.046
Cl 4.800 6.248 5.602
Cl 0.730 3.536 9.941
Cl 2.656 5.610 3.103
Cl 3.609 6.866 8.684
Cl 1.962 0.116 1.398
Cl 5.080 5.177 11.812
Cl 3.804 1.707 3.731
Cl 0.237 6.872 9.313
Cl 7.993 7.090 4.807
Cl 1.260 5.806 12.386
Cl 7.013 8.479 1.836
Cl 5.452 8.458 11.017
Cl 6.153 2.767 0.030
Cl 3.318 0.104 9.366
Cl 0.035 3.773 3.156
Cl 4.096 8.469 3.049
Cl 0.400 0.094 10.580
Cl 6.683 5.037 2.474
Cl 0.446 0.884 4.370
Cl 2.613 2.325 6.813
Cl -0.579 1.483 7.609
Cl 5.974 2.559 6.176
Cl 7.176 1.701 3.103
O 9.154 1.793 0.526
O 0.043 8.843 6.736
O 6.304 0.290 8.340
O 7.626 1.819 10.285
O -0.212 6.754 2.130
O 7.370 -0.270 5.680
O 1.110 8.283 4.075
O -1.741 6.780 11.890
```

***

The following is a DFT calculation (PBEsol) of MoRuPt2 after structural relaxation.

## Properties
The value obtained for the total energy is -36.33 eV per cell. The calculation puts the energy above the most stable polymorph in this dataset at 78 meV per atom. The size of the total moment comes out at 0.00 μB/f.u. The formation energy comes out at -0.12 eV per atom.

Structure (extended XYZ):
```
4
Lattice="2.722 0.000 0.000 0.000 4.787 0.004 0.000 -1.777 4.444" Properties=species:S:1:pos:R:3 pbc="T T T"
Mo 1.361 1.505 2.224
Pt 0.000 2.393 0.002
Pt 0.000 -0.889 2.222
Ru 1.361 0.000 0.000
```

***

The following is a DFT calculation (PBEsol) of OsPtSCl2 after structural relaxation.

## Properties
As for the formation energy (no corrections): 1334 meV/atom. The value obtained for the total energy is -20.91 eV per cell. The size of the total moment comes out at 4.09 μB/f.u.

Structure (extended XYZ):
```
5
Lattice="4.707 0.000 0.000 0.000 4.674 0.000 0.000 0.000 4.674" Properties=species:S:1:pos:R:3 pbc="T T T"
S 2.353 0.000 0.000
Os 2.353 2.337 2.337
Pt 0.000 0.000 0.000
Cl 0.000 0.000 2.337
Cl 0.000 2.337 0.000
```

***

The following is a DFT calculation (PBEsol) of Y3AsH after structural relaxation.

## Properties
The value obtained for the total energy is -31.54 eV per cell. The size of the total moment comes out at 0.00 μB/f.u.

Structure (extended XYZ):
```
5
Lattice="4.594 0.000 0.000 0.000 4.594 0.000 0.000 0.000 4.594" Properties=species:S:1:pos:R:3 pbc="T T T"
Y 0.000 2.297 0.000
Y 0.000 0.000 2.297
Y 2.297 0.000 0.000
H 0.000 0.000 0.000
As 2.297 2.297 2.297
```

***

The following is a DFT calculation (PBEsol) of Ba2CdH2 after structural relaxation.

## Properties
The value obtained for the total energy is -13.89 eV per cell. The size of the total moment comes out at 0.00 μB/f.u.

Structure (extended XYZ):
```
5
Lattice="4.271 0.000 0.000 0.000 4.271 0.000 -2.136 -2.136 7.304" Properties=species:S:1:pos:R:3 pbc="T T T"
H 0.000 2.136 3.652
H 2.136 0.000 3.652
Ba 0.000 0.000 5.119
Ba 2.136 2.136 2.185
Cd 0.000 0.000 0.000
```